Record 1
Entry from OQMD via LeMat-Bulk: a relaxed structure of AcCd2Ni (PBE).

* DFT total energy: -25.417 eV/cell
* total moment: 0.0 μB/f.u.
* ΔH_f (0 K): -0.311 eV/atom
* crystal system: orthorhombic

a b c (Å): 5.612 5.612 8.440
angles (deg): 90.00 90.00 135.32
Sites, in units of the cell vectors:
Ac 0.059 0.941 0.750
Ac 0.941 0.059 0.250
Cd 0.346 0.654 0.552
Cd 0.346 0.654 0.948
Cd 0.654 0.346 0.052
Cd 0.654 0.346 0.448
Ni 0.224 0.776 0.250
Ni 0.776 0.224 0.750


Record 2
Entry from OQMD via LeMat-Bulk: a relaxed structure of RbHfAgSeS2 (PBE).

* DFT total energy: -64.428 eV/cell
* total moment: 0.0 μB/f.u.
* crystal system: monoclinic
* E above lowest polymorph: 0.17 eV/f.u.

a b c (Å): 8.549 3.914 10.146
angles (deg): 90.00 111.75 90.00
Sites, in units of the cell vectors:
Rb 0.245 0.250 0.290
Rb 0.755 0.750 0.710
Hf 0.309 0.750 0.837
Hf 0.691 0.250 0.163
Ag 0.074 0.250 0.605
Ag 0.926 0.750 0.395
Se 0.453 0.750 0.130
Se 0.547 0.250 0.870
S 0.125 0.250 0.864
S 0.259 0.750 0.577
S 0.741 0.250 0.423
S 0.875 0.750 0.136


Record 3
Entry from OQMD via LeMat-Bulk: a relaxed structure of Lu4Tl3Mo2C3 (PBE).

* DFT total energy: -157.402 eV/cell
* total moment: 0.0 μB/f.u.
* crystal system: monoclinic

a b c (Å): 5.860 5.860 15.282
angles (deg): 101.32 101.32 60.43
Sites, in units of the cell vectors:
Lu 0.042 0.186 0.089
Lu 0.125 0.303 0.411
Lu 0.186 0.042 0.589
Lu 0.303 0.125 0.911
Lu 0.697 0.875 0.089
Lu 0.814 0.958 0.411
Lu 0.875 0.697 0.589
Lu 0.958 0.814 0.911
Tl 0.120 0.880 0.250
Tl 0.281 0.419 0.753
Tl 0.419 0.281 0.253
Tl 0.581 0.719 0.747
Tl 0.719 0.581 0.247
Tl 0.880 0.120 0.750
Mo 0.346 0.522 0.066
Mo 0.478 0.654 0.434
Mo 0.522 0.346 0.566
Mo 0.654 0.478 0.934
C 0.000 0.500 0.000
C 0.190 0.655 0.500
C 0.345 0.810 0.000
C 0.500 0.000 0.500
C 0.655 0.190 0.000
C 0.810 0.345 0.500


Record 4
Entry from OQMD via LeMat-Bulk: a relaxed structure of Be2AlPt2 (PBE).

* DFT total energy: -26.889 eV/cell
* total moment: 0.0 μB/f.u.
* crystal system: tetragonal

a b c (Å): 6.758 6.758 6.758
angles (deg): 152.96 152.96 38.61
Sites, in units of the cell vectors:
Be 0.250 0.750 0.500
Be 0.750 0.250 0.500
Al 0.000 0.000 0.000
Pt 0.387 0.387 0.000
Pt 0.613 0.613 0.000


Record 5
Entry from OQMD via LeMat-Bulk: a relaxed structure of ErCuSnTe3 (PBE).

* DFT total energy: -51.028 eV/cell
* total moment: 0.0 μB/f.u.
* crystal system: monoclinic
* E above lowest polymorph: 0.11 eV/f.u.

a b c (Å): 8.264 4.237 10.508
angles (deg): 90.00 105.93 90.00
Sites, in units of the cell vectors:
Er 0.196 0.250 0.169
Er 0.804 0.750 0.831
Cu 0.424 0.750 0.417
Cu 0.576 0.250 0.583
Sn 0.247 0.750 0.698
Sn 0.753 0.250 0.302
Te 0.080 0.250 0.862
Te 0.239 0.250 0.463
Te 0.457 0.750 0.171
Te 0.543 0.250 0.829
Te 0.761 0.750 0.537
Te 0.920 0.750 0.138


Record 6
Entry from OQMD via LeMat-Bulk: a relaxed structure of Nd2Sm2BBr3Cl2 (PBE).

* DFT total energy: -49.488 eV/cell
* total moment: 0.0 μB/f.u.
* crystal system: monoclinic

a b c (Å): 9.376 9.376 8.478
angles (deg): 103.42 103.42 24.72
Sites, in units of the cell vectors:
Nd 0.000 0.000 0.214
Nd 0.000 0.000 0.786
Sm 0.356 0.356 0.919
Sm 0.644 0.644 0.081
B 0.500 0.500 0.000
Br 0.172 0.172 0.839
Br 0.500 0.500 0.500
Br 0.828 0.828 0.161
Cl 0.162 0.162 0.317
Cl 0.838 0.838 0.683


Record 7
Entry from OQMD via LeMat-Bulk: a relaxed structure of SrCdSO (PBE).

* DFT total energy: -36.689 eV/cell
* crystal system: orthorhombic

a b c (Å): 7.474 7.474 6.143
angles (deg): 90.00 90.00 148.72
Sites, in units of the cell vectors:
Sr 0.160 0.840 0.500
Sr 0.840 0.160 0.000
Cd 0.433 0.567 0.573
Cd 0.567 0.433 0.073
S 0.174 0.826 0.992
S 0.826 0.174 0.492
O 0.429 0.571 0.940
O 0.571 0.429 0.440


Record 8
Entry from OQMD via LeMat-Bulk: a relaxed structure of IrF (PBE).

* DFT total energy: -10.180 eV/cell
* total moment: 0.0 μB/f.u.
* crystal system: hexagonal
* E above lowest polymorph: 0.00 eV/f.u.

a b c (Å): 2.625 2.625 4.087
angles (deg): 90.00 90.00 120.00
Sites, in units of the cell vectors:
Ir 0.000 0.000 0.000
F 0.333 0.667 0.500